Record 1
Ca5PuIn6 after structural relaxation, computed with GGA-PBE.

The value obtained for the density is 5.5 g/cm3. The calculation puts the total energy at -3.7977 eV/atom. The volume is 28.459 Å³/atom.

The structure belongs to space group Immm (No. 71); the cell edges are 5.4279, 7.7270 and 16.2852 Å and the angles 90.00°, 90.00° and 90.00°. Symmetry generates all atoms from Ca at (0.0000, 0.0000, 0.0000), Ca at (0.0000, 0.0000, 0.3329), Ca at (0.0000, 0.5000, 0.3329), Pu at (0.0000, 0.5000, 0.0000), In at (0.0000, 0.2498, 0.1651) and In at (0.0000, 0.2503, 0.5000).

=====

Record 2
CaPuIn5 after structural relaxation, computed with GGA-PBE.

The value obtained for the density is 7.0 g/cm3. The calculation puts the total energy at -4.3439 eV/atom. The volume is 29.236 Å³/atom.

The structure belongs to space group P4/mmm (No. 123); the cell edges are 4.5547, 4.5547 and 9.8648 Å and the angles 90.00°, 90.00° and 90.00°. Symmetry generates all atoms from Ca at (0.0000, 0.0000, 0.0000), Pu at (0.5000, 0.5000, 0.5000), In at (0.0000, 0.5000, 0.2565) and In at (0.5000, 0.5000, 0.0000).

=====

Record 3
CaPuTlIn after structural relaxation, computed with GGA-PBE.

The value obtained for the density is 8.7 g/cm3. The calculation puts the total energy at -5.5775 eV/atom. The volume is 28.671 Å³/atom.

The structure belongs to space group F-43m (No. 216); the cell edges are 7.7123, 7.7123 and 7.7123 Å and the angles 90.00°, 90.00° and 90.00°. Symmetry generates all atoms from Ca at (0.0000, 0.0000, 0.0000), Pu at (0.0000, 0.0000, 0.5000), Tl at (0.2500, 0.2500, 0.7500) and In at (0.2500, 0.2500, 0.2500).

=====

Record 4
CaPuZnIn after structural relaxation, computed with GGA-PBE.

The value obtained for the density is 7.3 g/cm3. The calculation puts the total energy at -5.2521 eV/atom. The volume is 26.230 Å³/atom.

The structure belongs to space group F-43m (No. 216); the cell edges are 7.4869, 7.4869 and 7.4869 Å and the angles 90.00°, 90.00° and 90.00°. Symmetry generates all atoms from Ca at (0.0000, 0.0000, 0.0000), Pu at (0.0000, 0.0000, 0.5000), Zn at (0.2500, 0.2500, 0.7500) and In at (0.2500, 0.2500, 0.2500).

=====

Record 5
RbCaIn after structural relaxation, computed with GGA-PBE.

The value obtained for the density is 2.8 g/cm3. The calculation puts the total energy at -2.0922 eV/atom. The volume is 47.119 Å³/atom. As for the excess energy over the best structure of this formula in the dataset: 9 meV per atom.

The structure belongs to space group P2_1/m (No. 11); the cell edges are 4.1324, 5.1000 and 13.5669 Å and the angles 90.00°, 98.59° and 90.00°. Symmetry generates all atoms from Rb at (0.1768, 0.2500, 0.3511), Ca at (0.0524, 0.7500, 0.1074) and In at (0.4571, 0.7500, 0.9123).

=====

Record 6
RbCaIn after structural relaxation, computed with GGA-PBE.

The value obtained for the density is 2.8 g/cm3. The calculation puts the total energy at -2.0954 eV/atom. The volume is 47.445 Å³/atom. As for the excess energy over the best structure of this formula in the dataset: 6 meV per atom.

The structure belongs to space group Pm (No. 6); the cell edges are 4.1920, 4.9941 and 13.5978 Å and the angles 90.00°, 90.26° and 90.00°. Symmetry generates all atoms from Rb at (0.0000, 0.0000, 0.0000), Rb at (0.4927, 0.5000, 0.2919), Ca at (0.4951, 0.0000, 0.5324), Ca at (0.4984, 0.5000, 0.7558), In at (0.9954, 0.5000, 0.5581) and In at (0.9982, 0.0000, 0.7204).